# 1
# LiScPd2

A relaxed structure of LiScPd2 (PBE, Alexandria).

## Properties
The total energy is -5.415 eV/atom. As for the density of states at the Fermi level: 1.29 states/eV/cell. The value obtained for the magnetic moment is 0.0 μB per formula unit.

The structure in extended XYZ format:
```
4
Lattice="3.299 0.000 0.000 0.000 3.299 0.000 0.000 0.000 5.856" Properties=species:S:1:pos:R:3 pbc="T T T"
Li 0.000 0.000 0.000
Sc 0.000 0.000 2.928
Pd 1.650 1.650 1.406
Pd 1.650 1.650 4.450
```


# 2
# NdZnCu2

A relaxed structure of NdZnCu2 (PBE, Alexandria).

## Properties
The total energy is -3.578 eV/atom. As for the density of states at the Fermi level: 2.24 states/eV/cell. The value obtained for the magnetic moment is 0.0 μB per formula unit.

The structure in extended XYZ format:
```
4
Lattice="3.561 0.000 0.000 0.000 3.184 3.580 0.000 -3.184 3.580" Properties=species:S:1:pos:R:3 pbc="T T T"
Nd 0.000 0.000 0.000
Zn 1.781 0.000 4.293
Cu 1.781 -1.208 2.148
Cu 1.781 1.208 2.148
```


# 3
# Be3Pt

A relaxed structure of Be3Pt (PBE, Alexandria).

## Properties
The total energy is -4.647 eV/atom. As for the density of states at the Fermi level: 0.72 states/eV/cell. The value obtained for the magnetic moment is 0.0 μB per formula unit.

The structure in extended XYZ format:
```
4
Lattice="2.789 0.000 0.000 0.000 2.789 0.000 0.000 0.000 5.150" Properties=species:S:1:pos:R:3 pbc="T T T"
Be 0.000 0.000 0.000
Be 1.394 1.394 1.151
Be 1.394 1.394 3.998
Pt 0.000 0.000 2.575
```


# 4
# Cs2Sm2NpS6

A relaxed structure of Cs2Sm2NpS6 (PBE, Alexandria).

## Properties
As for the density of states at the Fermi level: 5.66 states/eV/cell. The energy relative to the elements, uncorrected comes out at -1.697 eV per atom. The value obtained for the magnetic moment is 3.0 μB per formula unit.

The structure in extended XYZ format:
```
11
Lattice="3.567 -6.155 0.000 3.567 6.155 0.000 -2.445 0.000 8.248" Properties=species:S:1:pos:R:3 pbc="T T T"
Cs 3.567 4.066 0.000
Cs 3.567 -4.066 0.000
Sm 2.344 2.047 4.124
Sm 2.344 -2.047 4.124
Np -1.223 0.000 4.124
S -0.079 1.991 5.591
S 1.058 0.000 2.660
S -0.079 -1.991 5.591
S 4.768 1.991 2.657
S 3.631 0.000 5.588
S 4.768 -1.991 2.657
```


# 5
# PrY5Tm2

A relaxed structure of PrY5Tm2 (PBE, Alexandria).

## Properties
The total energy is -5.731 eV/atom. As for the density of states at the Fermi level: 21.31 states/eV/cell. The value obtained for the magnetic moment is 0.0 μB per formula unit.

The structure in extended XYZ format:
```
16
Lattice="7.143 0.000 0.000 0.000 14.296 0.000 0.000 0.000 5.030" Properties=species:S:1:pos:R:3 pbc="T T T"
Pr 0.000 0.000 0.000
Pr 3.571 7.148 0.000
Y 0.000 7.148 0.000
Y 0.010 3.584 0.000
Y 1.777 8.948 2.515
Y 1.795 1.800 2.515
Y 3.561 10.733 0.000
Y 3.571 0.000 0.000
Y 3.582 3.564 0.000
Y 5.348 12.496 2.515
Y 5.366 5.348 2.515
Y 7.132 10.712 0.000
Tm 1.781 12.501 2.515
Tm 1.790 5.352 2.515
Tm 5.353 8.944 2.515
Tm 5.361 1.796 2.515
```


# 6
# Ac4Pm3Nd4

A relaxed structure of Ac4Pm3Nd4 (PBE, Alexandria).

## Properties
The total energy is -4.338 eV/atom. As for the density of states at the Fermi level: 17.07 states/eV/cell. The value obtained for the magnetic moment is 0.0 μB per formula unit.

The structure in extended XYZ format:
```
11
Lattice="-1.859 5.949 9.812 1.859 -5.949 9.812 1.859 5.949 -9.812" Properties=species:S:1:pos:R:3 pbc="T T T"
Ac 0.000 0.000 3.945
Ac 1.859 3.276 0.000
Ac 0.000 2.674 9.812
Ac 0.000 0.000 15.679
Pm 0.000 0.000 0.000
Pm 1.859 0.000 7.735
Pm 0.000 5.949 2.077
Nd 1.859 3.149 -3.438
Nd 1.859 3.149 3.438
Nd 0.000 2.801 6.374
Nd 0.000 2.801 13.251
```


# 7
# Ga2Ge5Pd12

A relaxed structure of Ga2Ge5Pd12 (PBE, Alexandria).

## Properties
The total energy is -5.201 eV/atom. As for the density of states at the Fermi level: 6.85 states/eV/cell. The value obtained for the magnetic moment is 0.0 μB per formula unit.

The structure in extended XYZ format:
```
19
Lattice="7.155 -2.819 0.000 7.155 2.819 0.000 -2.243 0.000 8.018" Properties=species:S:1:pos:R:3 pbc="T T T"
Ga 7.155 1.451 0.000
Ga 7.155 -1.451 0.000
Ge -1.122 0.000 4.009
Ge 2.847 0.000 5.027
Ge 4.515 0.000 1.186
Ge 7.552 0.000 6.832
Ge 9.220 0.000 2.991
Pd 2.458 1.397 7.112
Pd 0.441 0.000 2.160
Pd 4.131 1.383 3.290
Pd 7.937 1.383 4.728
Pd 9.609 1.397 0.906
Pd 5.290 0.000 5.786
Pd 6.777 0.000 2.231
Pd 2.458 -1.397 7.112
Pd 4.131 -1.383 3.290
Pd 7.937 -1.383 4.728
Pd 11.626 0.000 5.858
Pd 9.609 -1.397 0.906
```


# 8
# ErMnGe2Ru

A relaxed structure of ErMnGe2Ru (PBE, Alexandria).

## Properties
The total energy is -7.020 eV/atom. As for the density of states at the Fermi level: 1.39 states/eV/cell. The value obtained for the magnetic moment is 2.7 μB per formula unit.

The structure in extended XYZ format:
```
5
Lattice="-2.014 2.014 5.325 2.014 -2.014 5.325 2.014 2.014 -5.325" Properties=species:S:1:pos:R:3 pbc="T T T"
Er 0.000 0.000 0.000
Mn 0.000 2.014 2.663
Ge 0.000 0.000 4.066
Ge 0.000 0.000 6.585
Ru 2.014 0.000 2.663
```


# 9
# KAg5Br7

A relaxed structure of KAg5Br7 (PBE, Alexandria).

## Properties
As for the density of states at the Fermi level: 18.08 states/eV/cell. The energy relative to the elements, uncorrected comes out at -0.520 eV per atom. The value obtained for the magnetic moment is 0.0 μB per formula unit.

The structure in extended XYZ format:
```
26
Lattice="2.139 -6.938 0.000 2.139 6.938 0.000 0.000 0.000 23.936" Properties=species:S:1:pos:R:3 pbc="T T T"
K 2.139 4.283 17.952
K 2.139 -4.283 5.984
Ag 0.000 0.000 0.000
Ag 0.000 0.000 11.968
Ag 2.139 2.961 1.694
Ag 2.139 2.961 10.274
Ag 2.139 0.772 15.431
Ag 2.139 0.772 20.473
Ag 2.139 -0.772 3.463
Ag 2.139 -0.772 8.505
Ag 2.139 -2.961 13.661
Ag 2.139 -2.961 22.242
Br 2.139 5.893 14.493
Br 2.139 5.893 21.410
Br 2.139 4.284 3.972
Br 2.139 4.284 7.996
Br 2.139 1.934 12.755
Br 2.139 1.934 23.148
Br 2.139 0.209 5.984
Br 2.139 -0.209 17.952
Br 2.139 -1.934 0.787
Br 2.139 -1.934 11.181
Br 2.139 -4.284 15.940
Br 2.139 -4.284 19.964
Br 2.139 -5.893 2.525
Br 2.139 -5.893 9.442
```


# 10
# LiTbThCd

A relaxed structure of LiTbThCd (PBE, Alexandria).

## Properties
The total energy is -3.703 eV/atom. As for the density of states at the Fermi level: 5.11 states/eV/cell. The value obtained for the magnetic moment is 0.0 μB per formula unit.

The structure in extended XYZ format:
```
4
Lattice="0.000 3.765 3.765 3.765 0.000 3.765 3.765 3.765 0.000" Properties=species:S:1:pos:R:3 pbc="T T T"
Li 0.000 0.000 0.000
Tb 5.648 5.648 5.648
Th 1.883 1.883 1.883
Cd 3.765 3.765 3.765
```


# 11
# SrOsNF2

A relaxed structure of SrOsNF2 (PBE, Alexandria).

## Properties
As for the density of states at the Fermi level: 1.50 states/eV/cell. The energy relative to the elements, uncorrected comes out at -1.160 eV per atom. The value obtained for the magnetic moment is 0.3 μB per formula unit.

The structure in extended XYZ format:
```
5
Lattice="4.462 0.000 0.000 0.000 4.462 0.000 0.000 0.000 3.819" Properties=species:S:1:pos:R:3 pbc="T T T"
Sr 0.000 0.000 0.000
Os 2.231 2.231 1.910
N 2.231 2.231 0.000
F 0.000 2.231 1.910
F 2.231 0.000 1.910
```


# 12
# YTlCl2

A relaxed structure of YTlCl2 (PBE, Alexandria).

## Properties
As for the density of states at the Fermi level: 3.64 states/eV/cell. The energy relative to the elements, uncorrected comes out at -1.326 eV per atom. The value obtained for the magnetic moment is 0.3 μB per formula unit.

The structure in extended XYZ format:
```
4
Lattice="1.810 1.045 10.324 -1.810 1.045 10.324 0.000 -2.090 10.324" Properties=species:S:1:pos:R:3 pbc="T T T"
Y 0.000 0.000 0.000
Tl 0.000 0.000 15.486
Cl 0.000 0.000 8.526
Cl 0.000 0.000 22.445
```